# 1
Below is an optimized crystal structure of MnNiPd2Se, with properties calculated at the PBE level.

Cell lengths 4.606, 4.491, 4.606 Å; angles 90.00, 90.00, 90.00 degrees
Site moments in Bohr magnetons follow the coordinates.
Fractional positions:
Ni 0.000 0.000 0.000  0.70
Mn 0.000 0.500 0.000  4.09
Se 0.500 0.500 0.500  0.01
Pd 0.000 0.000 0.500  0.23
Pd 0.500 0.000 0.000  0.16

Properties
- crystal system = tetragonal
- SG = P4/mmm
- energy relative to the elements, uncorrected (kcal/mol of atoms) = 14.52
- energy relative to the lowest polymorph listed for this composition (eV/atom) = 0.0675



# 2
Below is an optimized crystal structure of MnNiPd2Se, with properties calculated at the PBE level.

Cell lengths 4.655, 4.537, 4.655 Å; angles 90.00, 90.00, 90.00 degrees
Site moments in Bohr magnetons follow the coordinates.
Fractional positions:
Ni 0.500 0.500 0.500  0.81
Mn 0.000 0.500 0.000  3.64
Se 0.000 0.000 0.000  -0.02
Pd 0.000 0.000 0.500  0.04
Pd 0.500 0.000 0.000  0.06

Properties
- crystal system = tetragonal
- SG = P4/mmm
- energy relative to the elements, uncorrected (kcal/mol of atoms) = 12.97
- energy relative to the lowest polymorph listed for this composition (eV/atom) = 0.0000



# 3
Below is an optimized crystal structure of MnNiSn2Pd, with properties calculated at the PBE level.

Cell lengths 4.899, 4.645, 4.899 Å; angles 90.00, 90.00, 90.00 degrees
Site moments in Bohr magnetons follow the coordinates.
Fractional positions:
Ni 0.500 0.500 0.500  -0.05
Mn 0.000 0.000 0.000  0.01
Sn 0.000 0.000 0.500  0.00
Sn 0.500 0.000 0.000  0.00
Pd 0.000 0.500 0.000  0.00

Properties
- crystal system = tetragonal
- SG = P4/mmm
- ΔH_f (0 K) (eV/atom) = 0.86